1.
! Zr2As | Alexandria | PBE | relaxed; values from VASP
! DOS at the Fermi energy: 3.262 states/eV per cell
! Uncorrected energy: -7.11 eV per atom
! Formation energy: 137 meV per atom
! Crystal system: hexagonal
! Symmetry: P6/mmm, No. 191
&SYSTEM
  ibrav = 0, nat = 3, ntyp = 2
/
ATOMIC_SPECIES
As 74.92 As.upf
Zr 91.22 Zr.upf
CELL_PARAMETERS angstrom
4.940 0.000 0.000
-2.470 4.278 0.000
0.000 0.000 2.905
ATOMIC_POSITIONS crystal
As 0.000 0.000 0.000
Zr 0.667 0.333 0.500
Zr 0.333 0.667 0.500

2.
! Zr5As | Alexandria | PBE | relaxed; values from VASP
! DOS at the Fermi energy: 9.199 states/eV per cell
! Uncorrected energy: -8.23 eV per atom
! Formation energy: -328 meV per atom
! ΔE to the lowest computed polymorph: 0.0 meV/atom
! Crystal system: tetragonal
! Symmetry: P4/mmm, No. 123
&SYSTEM
  ibrav = 0, nat = 6, ntyp = 2
/
ATOMIC_SPECIES
Zr 91.22 Zr.upf
As 74.92 As.upf
CELL_PARAMETERS angstrom
3.575 0.000 0.000
0.000 3.575 0.000
0.000 0.000 10.091
ATOMIC_POSITIONS crystal
Zr 0.000 0.000 0.144
Zr 0.000 0.000 0.500
Zr 0.500 0.500 0.323
Zr 0.500 0.500 0.677
As 0.500 0.500 0.000
Zr 0.000 0.000 0.856

3.
! ZrAs2 | Alexandria | PBE | relaxed; values from VASP
! DOS at the Fermi energy: 5.091 states/eV per cell
! Uncorrected energy: -6.52 eV per atom
! Formation energy: -567 meV per atom
! Crystal system: tetragonal
! Symmetry: I4_1/amd, No. 141
&SYSTEM
  ibrav = 0, nat = 12, ntyp = 2
/
ATOMIC_SPECIES
Zr 91.22 Zr.upf
As 74.92 As.upf
CELL_PARAMETERS angstrom
19.259 0.015 0.000
18.549 5.179 0.000
-18.904 -2.597 2.607
ATOMIC_POSITIONS crystal
Zr 0.061 0.061 0.000
Zr 0.311 0.811 0.500
Zr 0.189 0.689 0.500
As 0.414 0.414 0.000
As 0.586 0.586 0.000
As 0.250 0.250 0.000
As 0.750 0.750 0.000
Zr 0.939 0.939 0.000
As 0.000 0.500 0.500
As 0.664 0.164 0.500
As 0.500 0.000 0.500
As 0.836 0.336 0.500

4.
! ZrAs3 | Alexandria | PBE | relaxed; values from VASP
! DOS at the Fermi energy: 1.729 states/eV per cell
! Uncorrected energy: -6.12 eV per atom
! Formation energy: -493 meV per atom
! Crystal system: orthorhombic
! Symmetry: Imm2, No. 44
&SYSTEM
  ibrav = 0, nat = 4, ntyp = 2
/
ATOMIC_SPECIES
As 74.92 As.upf
Zr 91.22 Zr.upf
CELL_PARAMETERS angstrom
5.361 0.001 0.001
1.568 5.127 -0.001
-2.786 -3.480 2.978
ATOMIC_POSITIONS crystal
As 0.025 0.051 0.975
As 0.897 0.250 0.647
As 0.424 0.449 0.975
Zr 0.487 0.750 0.737

Look up the uncorrected energy of the third one.
-6.52 eV per atom

The highest DOS at the Fermi energy belongs to which entry?
Zr5As